First-principles (PBE-GGA) data for a relaxed structure of KLaCoPd2, as listed in Alexandria.

**Crystal system**: tetragonal
**ρ**: 6.5 g/cm3
**Total energy**: -0.318 Ry/atom

```
data_KLaCoPd2
_chemical_formula_sum 'K1 La1 Co1 Pd2'
_cell_length_a 4.908
_cell_length_b 4.908
_cell_length_c 4.805
_cell_angle_alpha 90.00
_cell_angle_beta 90.00
_cell_angle_gamma 90.00
_symmetry_space_group_name_H-M 'P 4/m m m'
_symmetry_Int_Tables_number 123
_symmetry_space_group_name_Hall '-P 4 2'
loop_
_atom_site_label
_atom_site_type_symbol
_atom_site_fract_x
_atom_site_fract_y
_atom_site_fract_z
K1 K 0.000 0.000 0.000
La1 La 0.500 0.500 0.000
Co1 Co 0.000 0.000 0.500
Pd1 Pd 0.000 0.500 0.500
```